## Li7Mn2Co3O12 (GGA+U)

Data for a relaxed Li7Mn2Co3O12 crystal.

Lattice parameters (Å, degrees): 5.1254 5.1254 15.2926 99.94 99.94 32.50
Sites, in units of the cell vectors:
Li 0.0000 0.0000 0.0000
Li 0.2402 0.2402 0.2473
Li 0.2523 0.2523 0.5824
Li 0.2589 0.2589 0.9241
Li 0.7411 0.7411 0.0759
Li 0.7477 0.7477 0.4176
Li 0.7598 0.7598 0.7527
Mn 0.4893 0.4893 0.1587
Mn 0.5107 0.5107 0.8413
Co 0.0059 0.0059 0.6676
Co 0.5000 0.5000 0.5000
Co 0.9941 0.9941 0.3324
O 0.1035 0.1035 0.1289
O 0.1151 0.1151 0.4556
O 0.1169 0.1169 0.7960
O 0.3781 0.3781 0.0513
O 0.3776 0.3776 0.3731
O 0.3965 0.3965 0.7163
O 0.6035 0.6035 0.2837
O 0.6224 0.6224 0.6269
O 0.6219 0.6219 0.9487
O 0.8831 0.8831 0.2040
O 0.8849 0.8849 0.5444
O 0.8965 0.8965 0.8711

Results
Total energy: -5.757 eV per atom